Computed, not measured: a relaxed structure of LiRe at the PBEsol level of DFT.

Lattice parameters (Å, degrees): 2.6138 4.1061 5.5344 90.00 90.00 90.00
Last column: nearest neighbours and their distance in Å.
Space group Pmmn (No. 59, origin choice 2)
One atom of each set of equivalent atoms:
Li 0.2500 0.2500 0.1068 [2 per cell]  6 Li 2.61-2.71, 2 Re 2.66-2.88
Re 0.2500 0.2500 0.5869 [2 per cell]  6 Re 2.61-2.62, 2 Li 2.66-2.88

Final energy (eV per cell): -29.25
Size of the total moment (μB per formula unit): 0.00
Energy above the lowest structure with this stoichiometry (eV per formula unit): 0.00

***

Computed, not measured: a relaxed structure of LiReS2 at the PBEsol level of DFT.

Lattice parameters (Å, degrees): 2.8971 2.8971 24.0363 90.00 90.00 120.00
Last column: nearest neighbours and their distance in Å.
Space group R-3m (No. 166, hexagonal axes)
One atom of each set of equivalent atoms:
Li 0.0000 0.0000 0.0000 [3 per cell]  6 S 2.43
Re 0.0000 0.0000 0.5000 [3 per cell]  2 S 2.24
S 0.0000 0.0000 0.4068 [6 per cell]  1 Re 2.24, 3 Li 2.43

Final energy (eV per cell): -72.90
Size of the total moment (μB per formula unit): 0.00
Raw formation energy (eV per formula unit): -0.2

***

Computed, not measured: a relaxed structure of Li2ReSb at the PBEsol level of DFT.

Lattice parameters (Å, degrees): 3.4804 3.4804 5.2046 90.00 90.00 90.00
Last column: nearest neighbours and their distance in Å.
Space group P4/mmm (No. 123)
One atom of each set of equivalent atoms:
Li 0.0000 0.0000 0.2262 [2 per cell]  1 Li 2.35
Re 0.5000 0.5000 0.0000 [1 per cell]  2 Sb 2.60, 8 Li 2.73
Sb 0.5000 0.5000 0.5000 [1 per cell]  2 Re 2.60, 8 Li 2.84

Final energy (eV per cell): -20.17
Size of the total moment (μB per formula unit): 0.00
Raw formation energy (eV per formula unit): 1.6

***

Computed, not measured: a relaxed structure of Li2ReSb at the PBEsol level of DFT.

Lattice parameters (Å, degrees): 3.8817 3.8817 4.0269 90.00 90.00 90.00
Last column: nearest neighbours and their distance in Å.
Space group P4/mmm (No. 123)
One atom of each set of equivalent atoms:
Li 0.0000 0.5000 0.0000 [2 per cell]  4 Li 2.74, 4 Re 2.80, 4 Sb 2.80
Re 0.0000 0.0000 0.5000 [1 per cell]  4 Sb 2.74, 8 Li 2.80
Sb 0.5000 0.5000 0.5000 [1 per cell]  4 Re 2.74, 8 Li 2.80

Final energy (eV per cell): -20.67
Size of the total moment (μB per formula unit): 0.44
Raw formation energy (eV per formula unit): 1.2

***

Computed, not measured: a relaxed structure of Li2ReSb at the PBEsol level of DFT.

Lattice parameters (Å, degrees): 2.7032 4.6177 5.1823 90.00 90.00 90.00
Last column: nearest neighbours and their distance in Å.
Space group Pmm2 (No. 25)
One atom of each set of equivalent atoms:
Li 0.0000 0.0000 0.0000 [1 per cell]  4 Li 2.70-2.71, 4 Sb 2.87-2.97, 4 Re 2.91
Li 0.0000 0.5000 0.2734 [1 per cell]  4 Li 2.70-2.71, 4 Re 2.90-2.95, 4 Sb 2.94
Re 0.5000 0.5000 0.7786 [1 per cell]  2 Sb 2.69, 2 Re 2.70, 8 Li 2.90-2.95
Sb 0.5000 0.0000 0.5108 [1 per cell]  2 Re 2.69, 2 Sb 2.70, 8 Li 2.87-2.97

Final energy (eV per cell): -20.97
Size of the total moment (μB per formula unit): 0.00
Raw formation energy (eV per formula unit): 0.9

***

Computed, not measured: a relaxed structure of Li4ReSb at the PBEsol level of DFT.

Lattice parameters (Å, degrees): 6.8641 6.8641 6.8641 90.00 90.00 90.00
Last column: nearest neighbours and their distance in Å.
Space group F-43m (No. 216)
One atom of each set of equivalent atoms:
Li 0.1227 0.1227 0.1227 [16 per cell]  6 Li 2.38-2.47
Re 0.2500 0.2500 0.7500 [4 per cell]  12 Li 2.84, 4 Sb 2.97
Sb 0.0000 0.0000 0.5000 [4 per cell]  12 Li 2.85, 4 Re 2.97

Final energy (eV per cell): -95.76
Size of the total moment (μB per formula unit): 1.10
Raw formation energy (eV per formula unit): 1.8

***

Computed, not measured: a relaxed structure of Li2ReSb at the PBEsol level of DFT.

Lattice parameters (Å, degrees): 3.5317 4.2174 9.0347 90.00 90.00 90.00
Last column: nearest neighbours and their distance in Å.
Space group Cmmm (No. 65)
One atom of each set of equivalent atoms:
Li 0.0000 0.0000 0.2322 [4 per cell]  4 Re 2.74-2.97, 4 Li 2.75, 2 Sb 3.00
Re 0.0000 0.5000 0.0000 [2 per cell]  8 Li 2.74-2.97, 4 Re 2.75
Sb 0.0000 0.5000 0.5000 [2 per cell]  4 Sb 2.75, 4 Li 3.00

Final energy (eV per cell): -41.22
Size of the total moment (μB per formula unit): 0.00
Raw formation energy (eV per formula unit): 1.2

***

Computed, not measured: a relaxed structure of LiScRe at the PBEsol level of DFT.

Lattice parameters (Å, degrees): 3.1502 4.4977 14.3225 90.00 90.00 90.00
Last column: nearest neighbours and their distance in Å.
Space group Fmm2 (No. 42)
One atom of each set of equivalent atoms:
Li 0.0000 0.0000 0.0000 [4 per cell]  2 Re 2.71, 4 Li 2.75
Sc 0.0000 0.0000 0.3042 [4 per cell]  2 Re 2.67, 4 Sc 2.75
Re 0.0000 0.0000 0.6537 [4 per cell]  2 Sc 2.67, 2 Li 2.71, 4 Re 2.75

Final energy (eV per cell): -84.53
Size of the total moment (μB per formula unit): 0.00
Energy above the lowest structure with this stoichiometry (eV per formula unit): 0.11

***

Computed, not measured: a relaxed structure of LiScRe at the PBEsol level of DFT.

Lattice parameters (Å, degrees): 4.6532 4.6532 2.5149 90.00 90.00 120.00
Last column: nearest neighbours and their distance in Å.
Space group P3m1 (No. 156)
One atom of each set of equivalent atoms:
Li 0.0000 0.0000 0.0000 [1 per cell]  2 Li 2.51, 3 Sc 2.72
Sc 0.6667 0.3333 0.8317 [1 per cell]  2 Sc 2.51, 3 Li 2.72
Re 0.3333 0.6667 0.3687 [1 per cell]  2 Re 2.51

Final energy (eV per cell): -21.24
Size of the total moment (μB per formula unit): 0.16
Energy above the lowest structure with this stoichiometry (eV per formula unit): 0.00

***

Computed, not measured: a relaxed structure of Li2ReSe at the PBEsol level of DFT.

Lattice parameters (Å, degrees): 3.2874 4.1658 8.5995 90.00 90.00 90.00
Last column: nearest neighbours and their distance in Å.
Space group Cmmm (No. 65)
One atom of each set of equivalent atoms:
Li 0.0000 0.0000 0.2456 [4 per cell]  4 Li 2.65, 4 Se 2.68-2.97, 2 Re 2.74
Re 0.0000 0.5000 0.5000 [2 per cell]  4 Re 2.65, 4 Li 2.74
Se 0.0000 0.5000 0.0000 [2 per cell]  4 Se 2.65, 8 Li 2.68-2.97

Final energy (eV per cell): -42.31
Size of the total moment (μB per formula unit): 0.00
Raw formation energy (eV per formula unit): 0.0

***

Computed, not measured: a relaxed structure of LiReSi3 at the PBEsol level of DFT.

Lattice parameters (Å, degrees): 4.0971 4.0971 4.0971 90.00 90.00 90.00
Last column: nearest neighbours and their distance in Å.
Space group Pm-3m (No. 221)
One atom of each set of equivalent atoms:
Li 0.0000 0.0000 0.0000 [1 per cell]  6 Si 2.05
Re 0.5000 0.5000 0.5000 [1 per cell]  12 Si 2.90
Si 0.0000 0.0000 0.5000 [3 per cell]  2 Li 2.05

Final energy (eV per cell): -26.14
Size of the total moment (μB per formula unit): 0.00
Raw formation energy (eV per formula unit): 6.4

***

Computed, not measured: a relaxed structure of LiRe2Si at the PBEsol level of DFT.

Lattice parameters (Å, degrees): 2.7656 4.0847 5.0895 90.00 105.77 90.00
Last column: nearest neighbours and their distance in Å.
Space group Pm (No. 6)
One atom of each set of equivalent atoms:
Li 0.0000 0.0000 0.0000 [1 per cell]  3 Re 2.57-2.71, 4 Si 2.62-2.63, 2 Li 2.77
Re 0.2641 0.0000 0.5242 [1 per cell]  2 Si 2.49, 3 Li 2.57-2.71, 6 Re 2.66-2.77
Re 0.6602 0.5000 0.3211 [1 per cell]  1 Si 2.47, 6 Re 2.66-2.77
Si 0.4087 0.5000 0.8168 [1 per cell]  3 Re 2.47-2.49, 4 Li 2.62-2.63, 2 Si 2.77

Final energy (eV per cell): -34.13
Size of the total moment (μB per formula unit): 0.00
Raw formation energy (eV per formula unit): 0.2

***

Computed, not measured: a relaxed structure of LiRe2Si at the PBEsol level of DFT.

Lattice parameters (Å, degrees): 5.9308 5.9308 5.9308 90.00 90.00 90.00
Last column: nearest neighbours and their distance in Å.
Space group F-43m (No. 216)
One atom of each set of equivalent atoms:
Li 0.0000 0.0000 0.0000 [4 per cell]  4 Si 2.57, 4 Re 2.57
Re 0.0000 0.0000 0.5000 [4 per cell]  4 Re 2.57, 4 Si 2.57
Re 0.2500 0.2500 0.2500 [4 per cell]  4 Li 2.57, 4 Re 2.57
Si 0.2500 0.2500 0.7500 [4 per cell]  4 Li 2.57, 4 Re 2.57

Final energy (eV per cell): -140.08
Size of the total moment (μB per formula unit): 0.00
Raw formation energy (eV per formula unit): -0.6

***

Computed, not measured: a relaxed structure of Li2Re2Sn at the PBEsol level of DFT.

Lattice parameters (Å, degrees): 3.5415 3.5415 13.3010 90.00 90.00 90.00
Last column: nearest neighbours and their distance in Å.
Space group I4/mmm (No. 139)
One atom of each set of equivalent atoms:
Li 0.0000 0.0000 0.0971 [4 per cell]  1 Li 2.58, 4 Re 2.70, 4 Sn 2.82
Re 0.0000 0.5000 0.2500 [4 per cell]  4 Re 2.50, 4 Li 2.70
Sn 0.0000 0.0000 0.5000 [2 per cell]  8 Li 2.82

Final energy (eV per cell): -64.20
Size of the total moment (μB per formula unit): 0.00

***

Computed, not measured: a relaxed structure of SrLi2Re at the PBEsol level of DFT.

Lattice parameters (Å, degrees): 2.7875 3.7879 7.7092 90.00 90.00 90.00
Last column: nearest neighbours and their distance in Å.
Space group Pmm2 (No. 25)
One atom of each set of equivalent atoms:
Sr 0.0000 0.0000 0.0000 [1 per cell]  2 Sr 2.79
Li 0.0000 0.0000 0.5694 [1 per cell]  4 Re 2.66, 6 Li 2.75-2.79
Li 0.5000 0.5000 0.3838 [1 per cell]  1 Re 2.68, 6 Li 2.75-2.79
Re 0.5000 0.5000 0.7314 [1 per cell]  5 Li 2.66-2.68, 2 Re 2.79

Final energy (eV per cell): -16.20
Size of the total moment (μB per formula unit): 0.00
Energy above the lowest structure with this stoichiometry (eV per formula unit): 0.19

***

Computed, not measured: a relaxed structure of SrLi2Re at the PBEsol level of DFT.

Lattice parameters (Å, degrees): 2.7646 5.3439 5.4914 90.00 90.00 90.00
Last column: nearest neighbours and their distance in Å.
Space group Pmmm (No. 47)
One atom of each set of equivalent atoms:
Sr 0.0000 0.0000 0.0000 [1 per cell]  2 Sr 2.76, 4 Re 3.01, 4 Li 3.07
Li 0.0000 0.5000 0.5000 [1 per cell]  6 Li 2.76-3.01, 4 Re 3.07
Li 0.5000 0.0000 0.5000 [1 per cell]  6 Li 2.76-3.01, 4 Sr 3.07
Re 0.5000 0.5000 0.0000 [1 per cell]  2 Re 2.76, 4 Sr 3.01, 4 Li 3.07

Final energy (eV per cell): -15.50
Size of the total moment (μB per formula unit): 0.00
Energy above the lowest structure with this stoichiometry (eV per formula unit): 0.89

***

Computed, not measured: a relaxed structure of SrLi2Re at the PBEsol level of DFT.

Lattice parameters (Å, degrees): 3.7659 4.1413 10.0502 90.00 90.00 90.00
Last column: nearest neighbours and their distance in Å.
Space group Cmm2 (No. 35)
One atom of each set of equivalent atoms:
Sr 0.0000 0.0000 0.0000 [2 per cell]  4 Sr 2.80
Li 0.0000 0.0000 0.5516 [2 per cell]  4 Re 2.75-2.88, 4 Li 2.80
Li 0.0000 0.5000 0.3057 [2 per cell]  6 Li 2.80-3.11
Re 0.0000 0.5000 0.7504 [2 per cell]  4 Li 2.75-2.88, 4 Re 2.80

Final energy (eV per cell): -32.77
Size of the total moment (μB per formula unit): 0.00
Energy above the lowest structure with this stoichiometry (eV per formula unit): 0.00

***

Computed, not measured: a relaxed structure of Li2TaRe at the PBEsol level of DFT.

Lattice parameters (Å, degrees): 2.5645 4.2422 5.8383 90.00 90.00 90.00
Last column: nearest neighbours and their distance in Å.
Space group Pmm2 (No. 25)
One atom of each set of equivalent atoms:
Li 0.0000 0.0000 0.0000 [1 per cell]  6 Li 2.56-2.80
Li 0.5000 0.5000 0.2234 [1 per cell]  6 Li 2.56-2.80, 1 Ta 2.81
Ta 0.5000 0.5000 0.7042 [1 per cell]  2 Ta 2.56, 4 Re 2.76, 1 Li 2.81
Re 0.0000 0.0000 0.4943 [1 per cell]  2 Re 2.56, 4 Ta 2.76

Final energy (eV per cell): -28.46
Size of the total moment (μB per formula unit): 0.00
Energy above the lowest structure with this stoichiometry (eV per formula unit): 0.00

***

Computed, not measured: a relaxed structure of Li2TaRe at the PBEsol level of DFT.

Lattice parameters (Å, degrees): 3.4355 4.3543 7.3992 90.00 90.00 90.00
Last column: nearest neighbours and their distance in Å.
Space group Imm2 (No. 44)
One atom of each set of equivalent atoms:
Li 0.0000 0.0000 0.0000 [2 per cell]  2 Li 2.25
Li 0.0000 0.5000 0.3028 [2 per cell]  2 Li 2.25
Ta 0.0000 0.0000 0.5352 [2 per cell]  8 Li 2.62-2.79, 4 Re 2.67-2.74
Re 0.0000 0.5000 0.7590 [2 per cell]  8 Li 2.57-2.81, 4 Ta 2.67-2.74

Final energy (eV per cell): -56.08
Size of the total moment (μB per formula unit): 0.00
Energy above the lowest structure with this stoichiometry (eV per formula unit): 0.42

***

Computed, not measured: a relaxed structure of LiTa2TiRe at the PBEsol level of DFT.

Lattice parameters (Å, degrees): 4.8398 4.8398 4.7653 90.00 90.00 90.00
Last column: nearest neighbours and their distance in Å.
Space group P4/mmm (No. 123)
One atom of each set of equivalent atoms:
Li 0.0000 0.0000 0.0000 [1 per cell]  8 Ta 3.40, 4 Ti 3.42
Ta 0.0000 0.5000 0.5000 [2 per cell]  2 Re 2.42
Ti 0.5000 0.5000 0.0000 [1 per cell]  2 Re 2.38
Re 0.5000 0.5000 0.5000 [1 per cell]  2 Ti 2.38, 4 Ta 2.42

Final energy (eV per cell): -43.18
Size of the total moment (μB per formula unit): 0.00